Dy3Mg7Tl2 | GGA-PBE | relaxed

E_tot	-2.558	eV per atom
M_tot	0.00	μB per cell
E_form	-0.083	eV per atom

abc: 6.0595 6.0595 28.9649
angles: 90.00 90.00 120.00
Space group R-3m (No. 166, hexagonal axes)
Unique sites:
1 Dy 0.0000 0.0000 0.0000
2 Dy 0.0000 0.0000 0.1447
3 Mg 0.0000 0.0000 0.5000
4 Mg 0.0059 0.5029 0.9156
5 Tl 0.0000 0.0000 0.3345